# 1
{
  "formula": "HoTm4Hg5",
  "functional": "PBE",
  "state": "relaxed",
  "e_tot_ev_per_atom": -2.88,
  "mass_density_g_cm3": 12.27,
  "sg": "P4/mmm (123)",
  "magnetic_moment_mub_per_atom": 0.00,
  "lattice": [[3.679, 0.000, 0.000], [0.000, 3.679, 0.000], [0.000, 0.000, 18.429]],
  "species": ["Ho", "Tm", "Tm", "Tm", "Tm", "Hg", "Hg", "Hg", "Hg", "Hg"],
  "frac_coords": [[0.000, 0.000, 0.000], [0.000, 0.000, 0.201], [0.000, 0.000, 0.401], [0.000, 0.000, 0.599], [0.000, 0.000, 0.799], [0.500, 0.500, 0.102], [0.500, 0.500, 0.301], [0.500, 0.500, 0.500], [0.500, 0.500, 0.699], [0.500, 0.500, 0.898]]
}

# 2
{
  "formula": "Cu2OsAu",
  "functional": "PBE",
  "state": "relaxed",
  "e_tot_ev_per_atom": -5.16,
  "mass_density_g_cm3": 15.11,
  "sg": "Fm-3m (225)",
  "magnetic_moment_mub_per_atom": 0.41,
  "e_above_lowest_polymorph_ev_per_atom": 0.288,
  "lattice": [[3.971, -0.541, 1.578], [0.624, -2.501, 3.451], [1.987, -3.798, -0.424]],
  "species": ["Os", "Au", "Cu", "Cu"],
  "frac_coords": [[0.000, 0.000, 0.000], [0.500, 0.500, 0.500], [0.250, 0.250, 0.250], [0.750, 0.750, 0.750]]
}

# 3
{
  "formula": "Th5Tc2Sb",
  "functional": "PBE",
  "state": "relaxed",
  "e_tot_ev_per_atom": -8.10,
  "mass_density_g_cm3": 11.21,
  "raw_formation_energy_ev_per_atom": -0.359,
  "sg": "I4/mcm (140)",
  "magnetic_moment_mub_per_atom": 0.00,
  "lattice": [[-5.577, 2.464, -5.283], [3.185, -4.836, -5.617], [-2.876, -3.792, 7.427]],
  "species": ["Th", "Th", "Th", "Th", "Th", "Th", "Th", "Th", "Th", "Th", "Tc", "Tc", "Tc", "Tc", "Sb", "Sb"],
  "frac_coords": [[0.521, 0.707, 0.728], [0.793, 0.979, 0.272], [0.000, 0.000, 0.000], [0.500, 0.500, 0.000], [0.207, 0.021, 0.728], [0.707, 0.207, 0.728], [0.021, 0.521, 0.728], [0.293, 0.793, 0.272], [0.979, 0.479, 0.272], [0.479, 0.293, 0.272], [0.140, 0.360, 0.000], [0.640, 0.140, 0.000], [0.360, 0.860, 0.000], [0.860, 0.640, 0.000], [0.750, 0.750, 0.500], [0.250, 0.250, 0.500]]
}

# 4
{
  "formula": "Ba2Sb3O8",
  "functional": "PBE",
  "state": "relaxed",
  "e_tot_ev_per_atom": -6.12,
  "mass_density_g_cm3": 6.40,
  "raw_formation_energy_ev_per_atom": -1.818,
  "sg": "P4/mmm (123)",
  "magnetic_moment_mub_per_atom": 0.00,
  "lattice": [[-1.353, -3.280, -2.136], [3.565, -1.966, 0.760], [-4.534, -4.462, 9.722]],
  "species": ["Ba", "Ba", "Sb", "Sb", "Sb", "O", "O", "O", "O", "O", "O", "O", "O"],
  "frac_coords": [[0.000, 0.000, 0.188], [0.000, 0.000, 0.812], [0.500, 0.500, 0.371], [0.500, 0.500, 0.000], [0.500, 0.500, 0.629], [0.500, 0.000, 0.346], [0.000, 0.500, 0.346], [0.000, 0.500, 0.000], [0.500, 0.500, 0.176], [0.500, 0.000, 0.654], [0.000, 0.500, 0.654], [0.500, 0.500, 0.824], [0.500, 0.000, 0.000]]
}

# 5
{
  "formula": "Ac5NiAg2N",
  "functional": "PBE",
  "state": "relaxed",
  "e_tot_ev_per_atom": -4.89,
  "mass_density_g_cm3": 8.20,
  "raw_formation_energy_ev_per_atom": -0.406,
  "sg": "Cmc2_1 (36)",
  "magnetic_moment_mub_per_atom": 0.00,
  "lattice": [[-1.851, -3.784, 0.089], [0.923, 1.666, -9.671], [12.771, -6.242, 0.144]],
  "species": ["Ac", "Ac", "Ac", "Ac", "Ac", "Ac", "Ac", "Ac", "Ac", "Ac", "Ni", "Ni", "Ag", "Ag", "Ag", "Ag", "N", "N"],
  "frac_coords": [[0.354, 0.709, 0.009], [0.684, 0.367, 0.882], [0.496, 0.991, 0.781], [0.287, 0.574, 0.668], [0.957, 0.915, 0.516], [0.646, 0.291, 0.509], [0.316, 0.633, 0.382], [0.504, 0.009, 0.281], [0.713, 0.426, 0.168], [0.043, 0.085, 0.016], [0.794, 0.589, 0.527], [0.206, 0.411, 0.027], [0.867, 0.734, 0.826], [0.113, 0.225, 0.688], [0.133, 0.266, 0.326], [0.887, 0.775, 0.188], [0.557, 0.113, 0.927], [0.443, 0.887, 0.427]]
}

# 6
{
  "formula": "HoTm2ScIn4",
  "functional": "PBE",
  "state": "relaxed",
  "e_tot_ev_per_atom": -4.27,
  "mass_density_g_cm3": 8.32,
  "sg": "R-3m (166)",
  "magnetic_moment_mub_per_atom": 0.00,
  "lattice": [[-1.146, -4.898, 1.363], [2.733, -3.966, -1.991], [6.034, -2.430, 6.301]],
  "species": ["Ho", "Tm", "Tm", "Sc", "In", "In", "In", "In"],
  "frac_coords": [[0.000, 0.000, 0.000], [0.751, 0.751, 0.748], [0.249, 0.249, 0.252], [0.500, 0.500, 0.500], [0.377, 0.377, 0.870], [0.873, 0.873, 0.380], [0.127, 0.127, 0.620], [0.623, 0.623, 0.130]]
}

# 7
{
  "formula": "Li3Ce2AuS6",
  "functional": "PBE",
  "state": "relaxed",
  "e_tot_ev_per_atom": -5.13,
  "mass_density_g_cm3": 4.75,
  "raw_formation_energy_ev_per_atom": -1.330,
  "sg": "C2/m (12)",
  "magnetic_moment_mub_per_atom": 0.03,
  "lattice": [[-1.036, 0.246, 3.843], [-4.691, -5.772, -0.896], [7.829, -3.548, 0.268]],
  "species": ["Li", "Li", "Li", "Ce", "Ce", "Au", "S", "S", "S", "S", "S", "S"],
  "frac_coords": [[0.500, 0.500, 0.000], [0.836, 0.186, 0.672], [0.164, 0.814, 0.328], [0.846, 0.701, 0.693], [0.154, 0.299, 0.307], [0.500, 0.000, 0.000], [0.327, 0.931, 0.655], [0.668, 0.568, 0.336], [0.673, 0.069, 0.345], [0.992, 0.245, 0.985], [0.008, 0.755, 0.015], [0.332, 0.432, 0.664]]
}

# 8
{
  "formula": "TcTe2W",
  "functional": "PBE",
  "state": "relaxed",
  "e_tot_ev_per_atom": -6.33,
  "mass_density_g_cm3": 11.26,
  "raw_formation_energy_ev_per_atom": 1.066,
  "sg": "Immm (71)",
  "magnetic_moment_mub_per_atom": 0.00,
  "e_above_lowest_polymorph_ev_per_atom": 0.897,
  "lattice": [[-4.339, 2.414, -2.164], [-4.339, -1.655, 2.786], [4.657, 2.747, 0.313]],
  "species": ["Tc", "Te", "Te", "W"],
  "frac_coords": [[0.250, 0.750, 0.500], [0.007, 0.007, 0.000], [0.493, 0.493, 0.000], [0.750, 0.250, 0.500]]
}

# 9
{
  "formula": "InSi2Br",
  "functional": "PBE",
  "state": "relaxed",
  "e_tot_ev_per_atom": -3.19,
  "mass_density_g_cm3": 4.65,
  "raw_formation_energy_ev_per_atom": 0.629,
  "sg": "Cmmm (65)",
  "magnetic_moment_mub_per_atom": 0.00,
  "e_above_lowest_polymorph_ev_per_atom": 0.614,
  "lattice": [[5.853, -0.730, 0.000], [-2.732, 5.228, 0.000], [0.000, 0.000, 3.129]],
  "species": ["Br", "In", "Si", "Si"],
  "frac_coords": [[0.500, 0.000, 0.500], [0.000, 0.500, 0.500], [0.000, 0.000, 0.000], [0.500, 0.500, 0.000]]
}

# 10
{
  "formula": "Tc2PbW",
  "functional": "PBE",
  "state": "relaxed",
  "e_tot_ev_per_atom": -8.79,
  "mass_density_g_cm3": 13.92,
  "sg": "Pm (6)",
  "magnetic_moment_mub_per_atom": 0.00,
  "lattice": [[4.112, 0.000, 0.000], [0.000, 2.987, 0.008], [0.000, 2.973, 5.708]],
  "species": ["Pb", "Tc", "Tc", "W"],
  "frac_coords": [[0.500, 0.740, 0.760], [0.000, 0.968, 0.033], [0.500, 0.245, 0.257], [0.000, 0.547, 0.450]]
}

# 11
{
  "formula": "Ni2PbBr",
  "functional": "PBE",
  "state": "relaxed",
  "e_tot_ev_per_atom": -3.93,
  "mass_density_g_cm3": 9.02,
  "raw_formation_energy_ev_per_atom": 0.309,
  "sg": "C2/m (12)",
  "magnetic_moment_mub_per_atom": 0.00,
  "e_above_lowest_polymorph_ev_per_atom": 0.232,
  "lattice": [[-1.350, -3.250, -0.293], [0.022, -2.187, 2.772], [-6.629, 0.572, 2.767]],
  "species": ["Br", "Ni", "Ni", "Pb"],
  "frac_coords": [[0.250, 0.250, 0.250], [0.998, 0.998, 0.004], [0.502, 0.502, 0.496], [0.750, 0.750, 0.750]]
}

# 12
{
  "formula": "YSb2",
  "functional": "PBE",
  "state": "relaxed",
  "e_tot_ev_per_atom": -5.58,
  "mass_density_g_cm3": 6.35,
  "raw_formation_energy_ev_per_atom": -0.675,
  "sg": "Cm (8)",
  "magnetic_moment_mub_per_atom": 0.00,
  "lattice": [[-1.124, 4.268, -0.655], [-0.989, 0.365, 4.075], [18.452, 1.082, 4.380]],
  "species": ["Y", "Y", "Y", "Y", "Sb", "Sb", "Sb", "Sb", "Sb", "Sb", "Sb", "Sb"],
  "frac_coords": [[0.440, 0.000, 0.799], [0.440, 0.500, 0.299], [0.069, 0.000, 0.985], [0.069, 0.500, 0.485], [0.237, 0.000, 0.624], [0.237, 0.500, 0.124], [0.683, 0.000, 0.110], [0.683, 0.500, 0.610], [0.920, 0.000, 0.269], [0.920, 0.500, 0.769], [0.509, 0.000, 0.429], [0.509, 0.500, 0.929]]
}

# 13
{
  "formula": "LaYMgI2",
  "functional": "PBE",
  "state": "relaxed",
  "e_tot_ev_per_atom": -3.17,
  "mass_density_g_cm3": 3.35,
  "raw_formation_energy_ev_per_atom": 0.045,
  "sg": "P4/mmm (123)",
  "magnetic_moment_mub_per_atom": 0.00,
  "lattice": [[6.158, 0.000, 0.000], [0.000, 6.622, 0.000], [0.000, 0.000, 6.158]],
  "species": ["I", "I", "Y", "Mg", "La"],
  "frac_coords": [[0.000, 0.000, 0.500], [0.500, 0.000, 0.000], [0.000, 0.500, 0.000], [0.500, 0.500, 0.500], [0.000, 0.000, 0.000]]
}

# 14
{
  "formula": "Sr2SnN",
  "functional": "PBE",
  "state": "relaxed",
  "e_tot_ev_per_atom": -4.29,
  "mass_density_g_cm3": 4.36,
  "raw_formation_energy_ev_per_atom": -0.372,
  "sg": "R-3m (166)",
  "magnetic_moment_mub_per_atom": 0.00,
  "lattice": [[-0.193, -3.028, 2.203], [-0.102, -3.424, -1.524], [9.531, -2.562, 0.506]],
  "species": ["Sr", "Sr", "Sn", "N"],
  "frac_coords": [[0.119, 0.119, 0.644], [0.881, 0.881, 0.356], [0.000, 0.000, 0.000], [0.500, 0.500, 0.500]]
}

# 15
{
  "formula": "FePt2",
  "functional": "PBE",
  "state": "relaxed",
  "e_tot_ev_per_atom": -6.83,
  "mass_density_g_cm3": 16.16,
  "sg": "P6/mmm (191)",
  "magnetic_moment_mub_per_atom": 1.11,
  "lattice": [[-1.914, 0.322, -3.985], [2.977, -3.191, 0.778], [-1.972, -1.641, 0.815]],
  "species": ["Fe", "Pt", "Pt"],
  "frac_coords": [[0.000, 0.000, 0.000], [0.333, 0.667, 0.500], [0.667, 0.333, 0.500]]
}

# 16
{
  "formula": "TbEr3Au2",
  "functional": "PBE",
  "state": "relaxed",
  "e_tot_ev_per_atom": -4.61,
  "mass_density_g_cm3": 10.00,
  "sg": "Ibam (72)",
  "magnetic_moment_mub_per_atom": 0.00,
  "e_above_lowest_polymorph_ev_per_atom": 0.184,
  "lattice": [[-4.572, -1.550, -5.073], [5.482, -1.417, -4.507], [-0.482, -5.116, 6.831]],
  "species": ["Tb", "Tb", "Er", "Er", "Er", "Er", "Er", "Er", "Au", "Au", "Au", "Au"],
  "frac_coords": [[0.000, 0.500, 0.000], [0.000, 0.000, 0.000], [0.500, 0.250, 0.000], [0.500, 0.750, 0.000], [0.766, 0.016, 0.533], [0.234, 0.484, 0.467], [0.234, 0.984, 0.467], [0.766, 0.516, 0.533], [0.562, 0.358, 0.716], [0.847, 0.142, 0.284], [0.153, 0.858, 0.716], [0.438, 0.642, 0.284]]
}

# 17
{
  "formula": "Na3Bi2Pb2",
  "functional": "PBE",
  "state": "relaxed",
  "e_tot_ev_per_atom": -2.91,
  "mass_density_g_cm3": 6.87,
  "sg": "C2/m (12)",
  "magnetic_moment_mub_per_atom": 0.00,
  "e_above_lowest_polymorph_ev_per_atom": 0.000,
  "lattice": [[5.254, 0.385, -1.245], [-2.692, 4.659, -0.587], [0.608, -0.696, 8.587]],
  "species": ["Na", "Na", "Na", "Bi", "Bi", "Pb", "Pb"],
  "frac_coords": [[0.000, 0.000, 0.000], [0.719, 0.853, 0.572], [0.281, 0.147, 0.428], [0.146, 0.578, 0.724], [0.854, 0.422, 0.276], [0.441, 0.709, 0.149], [0.559, 0.291, 0.851]]
}

# 18
{
  "formula": "Y2SiHg",
  "functional": "PBE",
  "state": "relaxed",
  "e_tot_ev_per_atom": -5.08,
  "mass_density_g_cm3": 6.97,
  "raw_formation_energy_ev_per_atom": -0.413,
  "sg": "I-4m2 (119)",
  "magnetic_moment_mub_per_atom": 0.00,
  "lattice": [[6.108, 0.000, 0.000], [3.122, 5.250, 0.000], [-4.615, -2.625, 3.020]],
  "species": ["Hg", "Si", "Y", "Y"],
  "frac_coords": [[0.500, 0.500, 0.000], [0.750, 0.250, 0.500], [0.000, 0.000, 0.000], [0.250, 0.750, 0.500]]
}

# 19
{
  "formula": "HoLu2Mg",
  "functional": "PBE",
  "state": "relaxed",
  "e_tot_ev_per_atom": -3.77,
  "mass_density_g_cm3": 7.89,
  "sg": "P4/mmm (123)",
  "magnetic_moment_mub_per_atom": 0.00,
  "e_above_lowest_polymorph_ev_per_atom": 0.058,
  "lattice": [[4.867, 0.000, 0.000], [0.000, 4.828, 0.000], [0.000, 0.000, 4.828]],
  "species": ["Mg", "Lu", "Lu", "Ho"],
  "frac_coords": [[0.500, 0.000, 0.000], [0.000, 0.000, 0.500], [0.000, 0.500, 0.000], [0.500, 0.500, 0.500]]
}

# 20
{
  "formula": "AgRh2Se",
  "functional": "PBE",
  "state": "relaxed",
  "e_tot_ev_per_atom": -4.90,
  "mass_density_g_cm3": 10.08,
  "raw_formation_energy_ev_per_atom": 0.359,
  "sg": "Pmmm (47)",
  "magnetic_moment_mub_per_atom": 0.00,
  "lattice": [[2.916, 0.000, 0.000], [0.000, 4.803, 0.000], [0.000, 0.000, 4.620]],
  "species": ["Ag", "Rh", "Rh", "Se"],
  "frac_coords": [[0.000, 0.500, 0.500], [0.000, 0.000, 0.000], [0.500, 0.500, 0.000], [0.500, 0.000, 0.500]]
}

# 21
{
  "formula": "NaLiTm2Cl8",
  "functional": "PBE",
  "state": "relaxed",
  "e_tot_ev_per_atom": -4.35,
  "mass_density_g_cm3": 3.29,
  "raw_formation_energy_ev_per_atom": -2.108,
  "sg": "P2/m (10)",
  "magnetic_moment_mub_per_atom": 0.00,
  "lattice": [[6.462, 0.295, -0.005], [0.383, 6.423, -0.008], [0.006, 0.009, 7.946]],
  "species": ["Na", "Li", "Tm", "Tm", "Cl", "Cl", "Cl", "Cl", "Cl", "Cl", "Cl", "Cl"],
  "frac_coords": [[0.000, 0.000, 0.500], [0.000, 0.000, 0.000], [0.500, 0.500, 0.754], [0.500, 0.500, 0.246], [0.200, 0.796, 0.234], [0.683, 0.688, 0.000], [0.800, 0.204, 0.234], [0.800, 0.204, 0.766], [0.317, 0.312, 0.000], [0.200, 0.796, 0.766], [0.678, 0.683, 0.500], [0.322, 0.317, 0.500]]
}